Below is a relaxed structure of Ca3As3P, with properties calculated at the PBE-GGA level.

Cell lengths 9.848, 9.848, 12.203 Å; angles 90.00, 90.00, 36.92 degrees
Atoms (fractional coordinates):
Ca (0.013, 0.639, 0.132)
Ca (0.139, 0.513, 0.632)
Ca (0.201, 0.799, 0.861)
Ca (0.299, 0.701, 0.361)
Ca (0.361, 0.987, 0.132)
Ca (0.487, 0.861, 0.632)
Ca (0.513, 0.139, 0.368)
Ca (0.639, 0.013, 0.868)
Ca (0.701, 0.299, 0.639)
Ca (0.799, 0.201, 0.139)
Ca (0.861, 0.487, 0.368)
Ca (0.987, 0.361, 0.868)
As (0.043, 0.627, 0.378)
As (0.127, 0.543, 0.878)
As (0.225, 0.775, 0.618)
As (0.275, 0.725, 0.118)
As (0.373, 0.957, 0.378)
As (0.457, 0.873, 0.878)
As (0.543, 0.127, 0.122)
As (0.627, 0.043, 0.622)
As (0.725, 0.275, 0.882)
As (0.775, 0.225, 0.382)
As (0.873, 0.457, 0.122)
As (0.957, 0.373, 0.622)
P (0.093, 0.093, 0.500)
P (0.407, 0.407, 0.000)
P (0.593, 0.593, 0.000)
P (0.907, 0.907, 0.500)

## Properties
ΔE_f: -74.9 kJ/mol of atoms
total magnetic moment: 0.00 Bohr magnetons per cell
space-group type: Cmce
DOS(E_F): 0.280 states/eV per atom

Below is a relaxed structure of Li9Ag4Au11, with properties calculated at the PBE-GGA level.

Cell lengths 11.830, 11.830, 2.880 Å; angles 90.00, 90.00, 104.54 degrees
Atoms (fractional coordinates):
Li (0.000, 0.000, 0.000)
Li (0.100, 0.656, 0.000)
Li (0.303, 0.497, 0.000)
Li (0.344, 0.900, 0.000)
Li (0.497, 0.303, 0.000)
Li (0.503, 0.697, 0.000)
Li (0.656, 0.100, 0.000)
Li (0.697, 0.503, 0.000)
Li (0.900, 0.344, 0.000)
Ag (0.083, 0.239, 0.000)
Ag (0.239, 0.083, 0.000)
Ag (0.761, 0.917, 0.000)
Ag (0.917, 0.761, 0.000)
Au (0.106, 0.461, 0.500)
Au (0.132, 0.868, 0.500)
Au (0.303, 0.303, 0.500)
Au (0.303, 0.697, 0.500)
Au (0.461, 0.106, 0.500)
Au (0.500, 0.500, 0.500)
Au (0.539, 0.894, 0.500)
Au (0.697, 0.303, 0.500)
Au (0.697, 0.697, 0.500)
Au (0.868, 0.132, 0.500)
Au (0.894, 0.539, 0.500)

## Properties
ΔE_f: -38.3 kJ/mol of atoms
total magnetic moment: 0.00 Bohr magnetons per cell
space-group type: Cmmm
DOS(E_F): 0.283 states/eV per atom

> What is the DOS(E_F) in the first record?

0.280 states/eV per atom

> What is the formula in the first record?

Ca3As3P